DFT (GGA-PBE) results for crystalline ZrAg2 at its relaxed geometry.

Properties
For the distance to the lowest polymorph of the same formula, the calculation gives 0.0 meV per atom. Its energy relative to the elements is 0.3 eV/f.u.

Cell lengths 7.7676, 7.7676, 7.7676 Å; angles 90.00, 90.00, 90.00 degrees
Space group Fd-3m (No. 227, origin choice 2)
Inequivalent atoms, fractional coordinates:
Zr (0.1250, 0.1250, 0.1250)
Ag (0.0000, 0.0000, 0.5000)

---

DFT (GGA-PBE) results for crystalline Al2AsAu at its relaxed geometry.

Properties
The total energy is -3.701 eV/atom.

Cell lengths 6.6623, 6.6623, 6.6623 Å; angles 90.00, 90.00, 90.00 degrees
Space group F-43m (No. 216)
Inequivalent atoms, fractional coordinates:
Al (0.0000, 0.0000, 0.0000)
Al (0.2500, 0.2500, 0.2500)
As (0.0000, 0.0000, 0.5000)
Au (0.2500, 0.2500, 0.7500)

---

DFT (GGA-PBE) results for crystalline AlCoAsAu at its relaxed geometry.

Properties
For the distance to the lowest polymorph of the same formula, the calculation gives 0.0 meV per atom.

Cell lengths 6.2943, 6.2943, 6.2943 Å; angles 90.00, 90.00, 90.00 degrees
Space group F-43m (No. 216)
Inequivalent atoms, fractional coordinates:
Al (0.0000, 0.0000, 0.0000)
Co (0.0000, 0.0000, 0.5000)
As (0.2500, 0.2500, 0.7500)
Au (0.2500, 0.2500, 0.2500)

---

DFT (GGA-PBE) results for crystalline AlCoAsAu at its relaxed geometry.

Properties
For the distance to the lowest polymorph of the same formula, the calculation gives 8.3 meV per atom.

Cell lengths 6.2687, 6.2687, 6.2687 Å; angles 90.00, 90.00, 90.00 degrees
Space group F-43m (No. 216)
Inequivalent atoms, fractional coordinates:
Al (0.0000, 0.0000, 0.0000)
Co (0.2500, 0.2500, 0.2500)
As (0.0000, 0.0000, 0.5000)
Au (0.2500, 0.2500, 0.7500)

---

DFT (GGA-PBE) results for crystalline BeAlFeAs at its relaxed geometry.

Properties
For the distance to the lowest polymorph of the same formula, the calculation gives 0.0 meV per atom.

Cell lengths 5.8191, 5.8191, 5.8191 Å; angles 90.00, 90.00, 90.00 degrees
Space group F-43m (No. 216)
Inequivalent atoms, fractional coordinates:
Be (0.0000, 0.0000, 0.0000)
Al (0.2500, 0.2500, 0.2500)
Fe (0.0000, 0.0000, 0.5000)
As (0.2500, 0.2500, 0.7500)

---

DFT (GGA-PBE) results for crystalline BeAlFeAs at its relaxed geometry.

Properties
For the distance to the lowest polymorph of the same formula, the calculation gives 137.1 meV per atom.

Cell lengths 6.0040, 6.0040, 6.0040 Å; angles 90.00, 90.00, 90.00 degrees
Space group F-43m (No. 216)
Inequivalent atoms, fractional coordinates:
Be (0.0000, 0.0000, 0.0000)
Al (0.0000, 0.0000, 0.5000)
Fe (0.2500, 0.2500, 0.2500)
As (0.2500, 0.2500, 0.7500)

---

DFT (GGA-PBE) results for crystalline BeAlFeAs at its relaxed geometry.

Properties
For the distance to the lowest polymorph of the same formula, the calculation gives 63.3 meV per atom.

Cell lengths 5.8335, 5.8335, 5.8335 Å; angles 90.00, 90.00, 90.00 degrees
Space group F-43m (No. 216)
Inequivalent atoms, fractional coordinates:
Be (0.0000, 0.0000, 0.0000)
Al (0.2500, 0.2500, 0.7500)
Fe (0.2500, 0.2500, 0.2500)
As (0.0000, 0.0000, 0.5000)

---

DFT (GGA-PBE) results for crystalline Lu4AlAsC2 at its relaxed geometry.

Properties
The total energy is -6.170 eV/atom.

Cell lengths 3.5148, 3.5148, 14.6366 Å; angles 90.00, 90.00, 120.00 degrees
Space group P-6m2 (No. 187)
Inequivalent atoms, fractional coordinates:
Lu (0.0000, 0.0000, 0.1458)
Lu (0.6667, 0.3333, 0.3244)
Al (0.0000, 0.0000, 0.5000)
As (0.6667, 0.3333, 0.0000)
C (0.3333, 0.6667, 0.2357)

---

DFT (GGA-PBE) results for crystalline Nb4AlAsC2 at its relaxed geometry.

Properties
The total energy is -8.952 eV/atom.

Cell lengths 3.2377, 3.2377, 12.9537 Å; angles 90.00, 90.00, 120.00 degrees
Space group P-6m2 (No. 187)
Inequivalent atoms, fractional coordinates:
Nb (0.0000, 0.0000, 0.1475)
Nb (0.3333, 0.6667, 0.3311)
Al (0.0000, 0.0000, 0.5000)
As (0.3333, 0.6667, 0.0000)
C (0.6667, 0.3333, 0.2413)

---

DFT (GGA-PBE) results for crystalline Ta4AlAsC2 at its relaxed geometry.

Properties
The total energy is -9.807 eV/atom.

Cell lengths 3.2191, 3.2191, 12.9062 Å; angles 90.00, 90.00, 120.00 degrees
Space group P-6m2 (No. 187)
Inequivalent atoms, fractional coordinates:
Ta (0.0000, 0.0000, 0.1480)
Ta (0.3333, 0.6667, 0.3312)
Al (0.0000, 0.0000, 0.5000)
As (0.3333, 0.6667, 0.0000)
C (0.6667, 0.3333, 0.2408)

---

DFT (GGA-PBE) results for crystalline AlCdAsO at its relaxed geometry.

Properties
For the distance to the lowest polymorph of the same formula, the calculation gives 423.0 meV per atom.

Cell lengths 3.8127, 3.8127, 9.0268 Å; angles 90.00, 90.00, 90.00 degrees
Space group P4/nmm (No. 129, origin choice 2)
Inequivalent atoms, fractional coordinates:
Al (0.2500, 0.2500, 0.0808)
Cd (0.2500, 0.7500, 0.5000)
As (0.2500, 0.2500, 0.7193)
O (0.2500, 0.7500, 0.0000)

---

DFT (GGA-PBE) results for crystalline AlCdAsO at its relaxed geometry.

Properties
For the distance to the lowest polymorph of the same formula, the calculation gives 677.8 meV per atom.

Cell lengths 4.2257, 4.2257, 8.8619 Å; angles 90.00, 90.00, 90.00 degrees
Space group P4/nmm (No. 129, origin choice 2)
Inequivalent atoms, fractional coordinates:
Al (0.2500, 0.7500, 0.0000)
Cd (0.2500, 0.2500, 0.4301)
As (0.2500, 0.2500, 0.8352)
O (0.2500, 0.7500, 0.5000)

---

DFT (GGA-PBE) results for crystalline AlCdAsO at its relaxed geometry.

Properties
For the distance to the lowest polymorph of the same formula, the calculation gives 0.0 meV per atom.

Cell lengths 4.0422, 6.7812, 5.5736 Å; angles 90.00, 90.00, 90.00 degrees
Space group Pmc2_1 (No. 26)
Inequivalent atoms, fractional coordinates:
Al (0.0000, 0.1180, 0.0000)
Cd (0.5000, 0.3065, 0.4066)
As (0.5000, 0.2989, 0.8839)
O (0.0000, 0.1027, 0.3230)

---

DFT (GGA-PBE) results for crystalline AlCdAsO at its relaxed geometry.

Properties
For the distance to the lowest polymorph of the same formula, the calculation gives 147.8 meV per atom.

Cell lengths 2.9488, 7.3668, 6.9819 Å; angles 90.00, 90.00, 90.00 degrees
Space group Pmc2_1 (No. 26)
Inequivalent atoms, fractional coordinates:
Al (0.0000, 0.1784, 0.0000)
Cd (0.5000, 0.3886, 0.5815)
As (0.0000, 0.1312, 0.3544)
O (0.5000, 0.2922, 0.9321)

---

DFT (GGA-PBE) results for crystalline AlCoAs2 at its relaxed geometry.

Properties
The total energy is -4.691 eV/atom.

Cell lengths 6.3003, 6.3003, 6.3003 Å; angles 90.00, 90.00, 90.00 degrees
Space group F-43m (No. 216)
Inequivalent atoms, fractional coordinates:
Al (0.0000, 0.0000, 0.0000)
Co (0.2500, 0.2500, 0.2500)
As (0.0000, 0.0000, 0.5000)
As (0.2500, 0.2500, 0.7500)

---

DFT (GGA-PBE) results for crystalline Al2CoAs at its relaxed geometry.

Properties
The total energy is -4.686 eV/atom.

Cell lengths 6.2040, 6.2040, 6.2040 Å; angles 90.00, 90.00, 90.00 degrees
Space group F-43m (No. 216)
Inequivalent atoms, fractional coordinates:
Al (0.0000, 0.0000, 0.0000)
Al (0.2500, 0.2500, 0.2500)
Co (0.2500, 0.2500, 0.7500)
As (0.0000, 0.0000, 0.5000)

---

DFT (GGA-PBE) results for crystalline AlCoCuAs at its relaxed geometry.

Properties
For the distance to the lowest polymorph of the same formula, the calculation gives 0.0 meV per atom.

Cell lengths 5.9446, 5.9446, 5.9446 Å; angles 90.00, 90.00, 90.00 degrees
Space group F-43m (No. 216)
Inequivalent atoms, fractional coordinates:
Al (0.0000, 0.0000, 0.0000)
Co (0.2500, 0.2500, 0.2500)
Cu (0.2500, 0.2500, 0.7500)
As (0.0000, 0.0000, 0.5000)

---

DFT (GGA-PBE) results for crystalline AlCoCuAs at its relaxed geometry.

Properties
For the distance to the lowest polymorph of the same formula, the calculation gives 140.4 meV per atom.

Cell lengths 5.9905, 5.9905, 5.9905 Å; angles 90.00, 90.00, 90.00 degrees
Space group F-43m (No. 216)
Inequivalent atoms, fractional coordinates:
Al (0.0000, 0.0000, 0.0000)
Co (0.0000, 0.0000, 0.5000)
Cu (0.2500, 0.2500, 0.2500)
As (0.2500, 0.2500, 0.7500)

---

DFT (GGA-PBE) results for crystalline LiAlCoAs at its relaxed geometry.

Properties
For the distance to the lowest polymorph of the same formula, the calculation gives 0.0 meV per atom.

Cell lengths 5.8702, 5.8702, 5.8702 Å; angles 90.00, 90.00, 90.00 degrees
Space group F-43m (No. 216)
Inequivalent atoms, fractional coordinates:
Li (0.0000, 0.0000, 0.0000)
Al (0.2500, 0.2500, 0.2500)
Co (0.0000, 0.0000, 0.5000)
As (0.2500, 0.2500, 0.7500)

---

DFT (GGA-PBE) results for crystalline LiAlCoAs at its relaxed geometry.

Properties
For the distance to the lowest polymorph of the same formula, the calculation gives 270.1 meV per atom.

Cell lengths 6.0245, 6.0245, 6.0245 Å; angles 90.00, 90.00, 90.00 degrees
Space group F-43m (No. 216)
Inequivalent atoms, fractional coordinates:
Li (0.0000, 0.0000, 0.0000)
Al (0.0000, 0.0000, 0.5000)
Co (0.2500, 0.2500, 0.2500)
As (0.2500, 0.2500, 0.7500)